VASP calculation (GGA+U) on a relaxed HWN2F crystal.

a = 3.9227 Å, b = 3.9227 Å, c = 4.1470 Å
α = 90.00°, β = 90.00°, γ = 90.00°
With the nearest neighbours (Å) after each atom.
Sites, in units of the cell vectors:
H 0.5000 0.5000 0.5000  4 F 2.77, 8 N 2.85
N 0.0000 0.5000 0.0000  2 W 1.96
N 0.5000 0.0000 0.0000  2 W 1.96
W 0.0000 0.0000 0.0000  4 N 1.96, 2 F 2.07
F 0.0000 0.0000 0.5000  2 W 2.07

Results
Crystal system   tetragonal
Total energy   -5.50 eV per atom
Energy above the lowest structure with this stoichiometry   0 meV per atom